(1)
Compound: Al2MoAu
Source: the Alexandria database
Functional: SCAN
Structure: PBEsol geometry

Lattice parameters (Å, degrees): 4.163 4.163 3.457 90.00 90.00 90.00
Space group P4/mmm (No. 123)
Inequivalent atoms, fractional coordinates:
Al (0.000, 0.500, 0.000) (multiplicity 2)
Mo (0.000, 0.000, 0.500) (multiplicity 1)
Au (0.500, 0.500, 0.500) (multiplicity 1)

Output
The value obtained for the density of states at the Fermi level is 0.29 states/eV/atom. As for the total DFT energy (no corrections): -1.1160 hartree per atom. For the energy above the most stable polymorph in this dataset, the calculation gives 0 meV per atom. As for the energy of formation: -483 meV/atom.

(2)
Compound: AlMoAu3
Source: the Alexandria database
Functional: SCAN
Structure: PBEsol geometry

Lattice parameters (Å, degrees): 4.663 4.663 4.663 90.00 90.00 90.00
Space group Pm-3m (No. 221)
Inequivalent atoms, fractional coordinates:
Al (0.000, 0.000, 0.000) (multiplicity 1)
Mo (0.500, 0.500, 0.500) (multiplicity 1)
Au (0.000, 0.000, 0.500) (multiplicity 3)

Output
The value obtained for the density of states at the Fermi level is 0.44 states/eV/atom. As for the total DFT energy (no corrections): -1.8138 hartree per atom. As for the energy of formation: 667 meV/atom.

Listing size of the total moment for the structures above in their given order: 0.77 3.96 μB/f.u..